# 1
DFT (PBE) results for a geometry-optimized NbAlTe2 structure.

Structure (POSCAR):
```
NbAlTe2
1.0
1.7828 1.0293 9.8290
-1.7828 1.0293 9.8290
0.0000 -2.0586 9.8290
Nb Al Te
1 1 2
direct
0.0000 0.0000 0.0000
0.5000 0.5000 0.5000
0.3975 0.3975 0.3975
0.6025 0.6025 0.6025
```

The space group is No. 166. As for the uncorrected formation energy: -0.06 eV/atom. The value obtained for the total moment is 0.000 μB per cell. The density is 5755 kg/m³. The total energy is -5.08 eV per atom.

---

# 2
DFT (PBE) results for a geometry-optimized BaAg2Pt2 structure.

Structure (POSCAR):
```
BaAg2Pt2
1.0
8.0923 0.0000 0.0000
0.0000 8.0923 0.0000
0.0000 0.0000 3.1951
Ba Ag Pt
2 4 4
direct
0.0000 0.0000 0.0000
0.5000 0.5000 0.0000
0.1625 0.3375 0.5000
0.3375 0.8375 0.5000
0.6625 0.1625 0.5000
0.8375 0.6625 0.5000
0.1301 0.6301 0.0000
0.3699 0.1301 0.0000
0.6301 0.8699 0.0000
0.8699 0.3699 0.0000
```

The space group is No. 127. The value obtained for the total moment is 0.000 μB per cell. For the distance to the lowest polymorph of the same formula, the calculation gives 17 meV/atom. The density is 11797 kg/m³. For the formation energy, the calculation gives -0.6 eV/f.u. The total energy is -4.07 eV per atom.

---

# 3
DFT (PBE) results for a geometry-optimized Ag6HgAu5 structure.

Structure (POSCAR):
```
Ag6HgAu5
1.0
-2.0199 4.2851 6.3350
2.0199 -4.2851 6.3350
2.0199 4.2851 -6.3350
Ag Hg Au
6 1 5
direct
0.0807 0.3325 0.7482
0.2456 0.0000 0.2456
0.4157 0.6675 0.7482
0.5843 0.3325 0.2518
0.7544 0.0000 0.7544
0.9193 0.6675 0.2518
0.5000 0.5000 0.0000
0.0000 0.5000 0.5000
0.1661 0.1661 0.0000
0.3306 0.8306 0.5000
0.6694 0.1694 0.5000
0.8339 0.8339 0.0000
```

The space group is No. 71. The value obtained for the total moment is 0.000 μB per cell. For the distance to the lowest polymorph of the same formula, the calculation gives 5 meV/atom. The density is 13875 kg/m³. For the formation energy, the calculation gives -0.3 eV/f.u. The total energy is -2.84 eV per atom.

---

# 4
DFT (PBE) results for a geometry-optimized TbPr3Er4 structure.

Structure (POSCAR):
```
TbPr3Er4
1.0
11.4999 0.0000 0.0000
0.0000 7.3245 0.0000
0.0000 0.0000 6.2925
Tb Pr Er
2 6 8
direct
0.0000 0.1314 0.0000
0.5000 0.8686 0.5000
0.0000 0.8717 0.5003
0.2504 0.1278 0.3378
0.2496 0.8722 0.8378
0.5000 0.1283 0.0003
0.7496 0.1278 0.3378
0.7504 0.8722 0.8378
0.0000 0.3798 0.5034
0.0000 0.6201 0.0018
0.2483 0.3800 0.8357
0.2517 0.6200 0.3357
0.5000 0.3799 0.5018
0.5000 0.6202 0.0034
0.7483 0.6200 0.3357
0.7517 0.3800 0.8357
```

The space group is No. 31. The value obtained for the total moment is 0.001 μB per cell. For the distance to the lowest polymorph of the same formula, the calculation gives 0 meV/atom. The density is 7837 kg/m³. For the formation energy, the calculation gives 0.2 eV/f.u. The total energy is -4.63 eV per atom.

---

# 5
DFT (PBE) results for a geometry-optimized Tc3AgMo structure.

Structure (POSCAR):
```
Tc3AgMo
1.0
4.6839 0.0000 0.0000
0.0000 4.6839 0.0000
0.0000 0.0000 4.6839
Tc Ag Mo
3 1 1
direct
0.0000 0.0000 0.5000
0.0000 0.5000 0.0000
0.5000 0.0000 0.0000
0.5000 0.5000 0.5000
0.0000 0.0000 0.0000
```

The space group is No. 221. The value obtained for the total moment is 2.572 μB per cell. For the distance to the lowest polymorph of the same formula, the calculation gives 0 meV/atom. The density is 8044 kg/m³. For the formation energy, the calculation gives 8.5 eV/f.u. The total energy is -7.26 eV per atom.

---

# 6
DFT (PBE) results for a geometry-optimized Dy12Tl6Co structure.

Structure (POSCAR):
```
Dy12Tl6Co
1.0
6.0770 3.5086 4.4172
-6.0770 3.5086 4.4172
0.0000 -7.0171 4.4172
Dy Tl Co
12 6 1
direct
0.0274 0.9168 0.6942
0.0832 0.3058 0.9726
0.2045 0.4222 0.5415
0.3058 0.9726 0.0832
0.4222 0.5415 0.2045
0.4585 0.7955 0.5778
0.5415 0.2045 0.4222
0.5778 0.4585 0.7955
0.6942 0.0274 0.9168
0.7955 0.5778 0.4585
0.9168 0.6942 0.0274
0.9726 0.0832 0.3058
0.1372 0.7341 0.3543
0.2659 0.6457 0.8628
0.3543 0.1372 0.7341
0.6457 0.8628 0.2659
0.7341 0.3543 0.1372
0.8628 0.2659 0.6457
0.0000 0.0000 0.0000
```

The space group is No. 148. The value obtained for the total moment is 0.000 μB per cell. The density is 9507 kg/m³. For the formation energy, the calculation gives -2.8 eV/f.u. The total energy is -4.17 eV per atom.

---

# 7
DFT (PBE) results for a geometry-optimized In3FeAs structure.

Structure (POSCAR):
```
In3FeAs
1.0
5.0412 0.0000 0.0000
0.0000 5.0412 0.0000
0.0000 0.0000 5.0412
In Fe As
3 1 1
direct
0.0000 0.0000 0.5000
0.0000 0.5000 0.0000
0.5000 0.0000 0.0000
0.0000 0.0000 0.0000
0.5000 0.5000 0.5000
```

The space group is No. 221. The value obtained for the total moment is 2.959 μB per cell. For the distance to the lowest polymorph of the same formula, the calculation gives 0 meV/atom. The density is 6160 kg/m³. For the formation energy, the calculation gives 2.2 eV/f.u. The total energy is -3.83 eV per atom.

---

# 8
DFT (PBE) results for a geometry-optimized Nd5IrPd2 structure.

Structure (POSCAR):
```
Nd5IrPd2
1.0
-3.6875 3.6875 7.8055
3.6875 -3.6875 7.8055
3.6875 3.6875 -7.8055
Nd Ir Pd
10 2 4
direct
0.0000 0.0000 0.0000
0.0224 0.5224 0.8470
0.1754 0.0224 0.5000
0.3246 0.8246 0.8470
0.4776 0.3246 0.5000
0.5000 0.5000 0.0000
0.5224 0.6754 0.5000
0.6754 0.1754 0.1530
0.8246 0.9776 0.5000
0.9776 0.4776 0.1530
0.2500 0.2500 0.0000
0.7500 0.7500 0.0000
0.1302 0.3698 0.5000
0.3698 0.8698 0.2395
0.6302 0.1302 0.7605
0.8698 0.6302 0.5000
```

The space group is No. 140. The value obtained for the total moment is 0.000 μB per cell. The density is 8811 kg/m³. For the formation energy, the calculation gives -4.4 eV/f.u. The total energy is -5.94 eV per atom.

---

# 9
DFT (PBE) results for a geometry-optimized BaLi2CuSi structure.

Structure (POSCAR):
```
BaLi2CuSi
1.0
4.9943 0.0000 0.0000
0.0000 4.9943 0.0000
0.0000 0.0000 4.5038
Ba Li Cu Si
1 2 1 1
direct
0.0000 0.0000 0.0000
0.0000 0.5000 0.5000
0.5000 0.0000 0.5000
0.5000 0.5000 0.5000
0.5000 0.5000 0.0000
```

The space group is No. 123. As for the uncorrected formation energy: -0.09 eV/atom. The value obtained for the total moment is 0.360 μB per cell. For the distance to the lowest polymorph of the same formula, the calculation gives 22 meV/atom. The density is 3590 kg/m³. The total energy is -3.15 eV per atom.

---

# 10
DFT (PBE) results for a geometry-optimized Nb2IrPt2 structure.

Structure (POSCAR):
```
Nb2IrPt2
1.0
-2.0112 2.0112 5.7566
2.0112 -2.0112 5.7566
2.0112 2.0112 -5.7566
Nb Ir Pt
2 1 2
direct
0.2500 0.7500 0.5000
0.7500 0.2500 0.5000
0.0000 0.0000 0.0000
0.3940 0.3940 0.0000
0.6060 0.6060 0.0000
```

The space group is No. 139. The value obtained for the total moment is 0.000 μB per cell. For the distance to the lowest polymorph of the same formula, the calculation gives 754 meV/atom. The density is 13696 kg/m³. For the formation energy, the calculation gives 1.2 eV/f.u. The total energy is -7.97 eV per atom.

---

# 11
DFT (PBE) results for a geometry-optimized NbAuBr2 structure.

Structure (POSCAR):
```
NbAuBr2
1.0
-4.6861 4.6861 2.6943
4.6861 -4.6861 2.6943
4.6861 4.6861 -2.6943
Nb Au Br
2 2 4
direct
0.0000 0.0000 0.0000
0.7500 0.2500 0.5000
0.2500 0.7500 0.5000
0.5000 0.5000 0.0000
0.3750 0.2329 0.3579
0.7671 0.1250 0.1421
0.8750 0.0171 0.6421
0.9829 0.6250 0.8579
```

The space group is No. 122. As for the uncorrected formation energy: 0.00 eV/atom. The value obtained for the total moment is 3.566 μB per cell. For the distance to the lowest polymorph of the same formula, the calculation gives 184 meV/atom. The density is 6310 kg/m³. The total energy is -4.17 eV per atom.

---

# 12
DFT (PBE) results for a geometry-optimized CaNiH3 structure.

Structure (POSCAR):
```
CaNiH3
1.0
-1.8644 1.8644 7.7485
1.8644 -1.8644 7.7485
1.8644 1.8644 -7.7485
Ca Ni H
2 2 6
direct
0.0000 0.0000 0.0000
0.7500 0.2500 0.5000
0.1601 0.6601 0.5000
0.3399 0.8399 0.5000
0.3363 0.3363 0.0000
0.4958 0.1069 0.3889
0.6637 0.6637 0.0000
0.7180 0.1069 0.6111
0.8931 0.2820 0.3889
0.8931 0.5042 0.6111
```

The space group is No. 119. The value obtained for the total moment is 0.000 μB per cell. The density is 3138 kg/m³. The total energy is -3.43 eV per atom.

---

Number 11 is which compound?
NbAuBr2